Here is a relaxed structure of FeSeNO2 from the Alexandria database. Energies are from GGA+U.

abc: 3.7319 3.7319 4.0964
angles: 90.00 90.00 90.00
Closest atoms and distances in Å follow each position.
Fractional coordinates of all 5 atoms:
Fe 0.0000 0.0000 0.0000  4 O 1.87, 2 N 2.05
Se 0.5000 0.5000 0.5000  4 N 2.64, 8 O 2.77
N 0.0000 0.0000 0.5000  2 Fe 2.05
O 0.0000 0.5000 0.0000  2 Fe 1.87
O 0.5000 0.0000 0.0000  2 Fe 1.87

## Properties
DOS(E_F), states/eV/atom: 0.44
ρ, g/cm3: 5.3
Uncorrected energy, eV per atom: -4.98